A plane-wave DFT calculation with PBE was carried out for a relaxed structure of Cd5Sn12Hg3.

Structure (POSCAR):
```
Cd5Sn12Hg3
1.0
-8.604 8.604 8.604
8.604 -8.604 8.604
8.604 8.604 -8.604
Cd Sn Hg
20 48 12
direct
0.000 0.000 0.000 Cd
0.000 0.000 0.500 Cd
0.000 0.500 0.000 Cd
0.000 0.500 0.500 Cd
0.125 0.750 0.875 Cd
0.125 0.875 0.250 Cd
0.250 0.125 0.875 Cd
0.250 0.625 0.375 Cd
0.375 0.250 0.625 Cd
0.375 0.625 0.750 Cd
0.500 0.000 0.000 Cd
0.500 0.000 0.500 Cd
0.500 0.500 0.000 Cd
0.500 0.500 0.500 Cd
0.625 0.375 0.250 Cd
0.625 0.750 0.375 Cd
0.750 0.375 0.625 Cd
0.750 0.875 0.125 Cd
0.875 0.125 0.750 Cd
0.875 0.250 0.125 Cd
0.067 0.233 0.134 Sn
0.067 0.334 0.932 Sn
0.068 0.634 0.401 Sn
0.068 0.933 0.666 Sn
0.099 0.733 0.666 Sn
0.099 0.866 0.432 Sn
0.134 0.067 0.233 Sn
0.134 0.568 0.901 Sn
0.166 0.233 0.599 Sn
0.166 0.433 0.568 Sn
0.233 0.134 0.067 Sn
0.233 0.599 0.166 Sn
0.267 0.334 0.901 Sn
0.267 0.433 0.366 Sn
0.334 0.901 0.267 Sn
0.334 0.932 0.067 Sn
0.366 0.267 0.433 Sn
0.366 0.599 0.932 Sn
0.401 0.068 0.634 Sn
0.401 0.834 0.767 Sn
0.432 0.099 0.866 Sn
0.432 0.834 0.567 Sn
0.433 0.366 0.267 Sn
0.433 0.568 0.166 Sn
0.567 0.432 0.834 Sn
0.567 0.634 0.733 Sn
0.568 0.166 0.433 Sn
0.568 0.901 0.134 Sn
0.599 0.166 0.233 Sn
0.599 0.932 0.366 Sn
0.634 0.401 0.068 Sn
0.634 0.733 0.567 Sn
0.666 0.068 0.933 Sn
0.666 0.099 0.733 Sn
0.733 0.567 0.634 Sn
0.733 0.666 0.099 Sn
0.767 0.401 0.834 Sn
0.767 0.866 0.933 Sn
0.834 0.567 0.432 Sn
0.834 0.767 0.401 Sn
0.866 0.432 0.099 Sn
0.866 0.933 0.767 Sn
0.901 0.134 0.568 Sn
0.901 0.267 0.334 Sn
0.932 0.067 0.334 Sn
0.932 0.366 0.599 Sn
0.933 0.666 0.068 Sn
0.933 0.767 0.866 Sn
0.125 0.250 0.375 Hg
0.125 0.375 0.750 Hg
0.250 0.375 0.125 Hg
0.250 0.875 0.625 Hg
0.375 0.125 0.250 Hg
0.375 0.750 0.125 Hg
0.625 0.250 0.875 Hg
0.625 0.875 0.750 Hg
0.750 0.125 0.375 Hg
0.750 0.625 0.875 Hg
0.875 0.625 0.250 Hg
0.875 0.750 0.625 Hg
```

Calculated values
The formation energy is 0.18 eV per atom. The space group is No. 230.



A plane-wave DFT calculation with PBE was carried out for a relaxed structure of Na2SCl.

Structure (POSCAR):
```
Na2SCl
1.0
3.318 0.000 0.000
0.000 3.318 0.000
0.000 0.000 7.414
Na S Cl
2 1 1
direct
0.000 0.000 0.236 Na
0.000 0.000 0.764 Na
0.500 0.500 0.500 S
0.500 0.500 0.000 Cl
```

Calculated values
For the uncorrected formation energy, the calculation gives -1.05 eV per atom. For the distance to the lowest polymorph of the same formula, the calculation gives 0.023 eV per atom. The space group is No. 123.



A plane-wave DFT calculation with PBE was carried out for a relaxed structure of Tb4DyEr2Mg.

Structure (POSCAR):
```
Tb4DyEr2Mg
1.0
4.962 0.000 0.000
0.000 4.962 0.000
0.000 0.000 9.896
Tb Dy Er Mg
4 1 2 1
direct
0.000 0.500 0.247 Tb
0.000 0.500 0.753 Tb
0.500 0.000 0.247 Tb
0.500 0.000 0.753 Tb
0.000 0.000 0.500 Dy
0.000 0.000 0.000 Er
0.500 0.500 0.500 Er
0.500 0.500 0.000 Mg
```

Calculated values
The formation energy is 0.02 eV per atom. The space group is No. 123.



A plane-wave DFT calculation with PBE was carried out for a relaxed structure of Dy2HoPd8.

Structure (POSCAR):
```
Dy2HoPd8
1.0
7.408 -2.102 0.000
7.408 2.102 0.000
-2.145 0.000 6.413
Dy Ho Pd
2 1 8
direct
0.218 0.218 0.166 Dy
0.782 0.782 0.834 Dy
0.500 0.500 0.500 Ho
0.037 0.037 0.218 Pd
0.141 0.141 0.679 Pd
0.323 0.323 0.594 Pd
0.409 0.409 0.050 Pd
0.591 0.591 0.950 Pd
0.677 0.677 0.406 Pd
0.859 0.859 0.321 Pd
0.963 0.963 0.782 Pd
```

Calculated values
The formation energy is -0.77 eV per atom. The space group is No. 12.



no.,Fermi-level density of states (states/eV per atom)
1,0.5438
2,0.3355
3,1.4471
4,0.4424